Below is BaSnGeRh after structural relaxation, with properties calculated at the PBE-GGA level.

## Properties
Fermi-level density of states ... 0.979 states/eV/f.u.
Energy of formation from the pure elements ... -0.603 eV/atom

The structure in CIF format:
```
data_BaSnGeRh
_chemical_formula_sum 'Ba2 Sn2 Ge2 Rh2'
_symmetry_space_group_name_H-M 'P 4/n m m'
_symmetry_Int_Tables_number 129
_cell_length_a 4.264
_cell_length_b 4.264
_cell_length_c 12.149
_cell_angle_alpha 90.00
_cell_angle_beta 90.00
_cell_angle_gamma 90.00
loop_
_symmetry_equiv_pos_as_xyz
'x,y,z'
'-x,-y,-z'
'-y+1/2,x,z'
'y+1/2,-x,-z'
'-x+1/2,-y+1/2,z'
'x+1/2,y+1/2,-z'
'y,-x+1/2,z'
'-y,x+1/2,-z'
'x+1/2,-y,-z'
'-x+1/2,y,z'
'-y,-x,-z'
'y,x,z'
'-x,y+1/2,-z'
'x,-y+1/2,z'
'y+1/2,x+1/2,-z'
'-y+1/2,-x+1/2,z'
loop_
_atom_site_label
_atom_site_type_symbol
_atom_site_fract_x
_atom_site_fract_y
_atom_site_fract_z
Ba1 Ba 0.250 0.250 0.243
Sn1 Sn 0.250 0.750 0.500
Ge1 Ge 0.250 0.250 0.896
Rh1 Rh 0.250 0.750 0.000
```